1.
Entry from Alexandria: an optimized crystal structure of ZrCr (PBE).

## Properties
Calculated total energy ... -30.57 eV per cell
SG ... P6_3/mmc
Energy of formation ... 139.1 kJ per mole of atoms

a = 4.6770 Å, b = 4.6770 Å, c = 5.2298 Å
α = 90.00°, β = 90.00°, γ = 120.00°
Sites, in units of the cell vectors:
Zr 0.3333 0.6667 0.7500
Zr 0.6667 0.3333 0.2500
Cr 0.3333 0.6667 0.2500
Cr 0.6667 0.3333 0.7500


2.
Entry from Alexandria: an optimized crystal structure of Pr2SmDy4Sc (PBE).

## Properties
Calculated total energy ... -38.73 eV per cell
SG ... P4/mmm
Energy of formation ... 3.5 kJ per mole of atoms

a = 5.0428 Å, b = 5.0413 Å, c = 11.2566 Å
α = 63.38°, β = 90.00°, γ = 90.00°
Sites, in units of the cell vectors:
Pr 0.0000 0.0000 0.0000
Pr 0.5000 0.0000 0.5000
Sm 0.0000 0.5000 0.5000
Dy 0.0000 0.7447 0.7557
Dy 0.0000 0.2553 0.2443
Dy 0.5000 0.7556 0.2442
Dy 0.5000 0.2444 0.7558
Sc 0.5000 0.5000 0.0000